Record 1
{
  "formula": "BeFeSb2I",
  "functional": "PBE",
  "state": "relaxed",
  "cell": [[4.795, 0.000, 0.000], [0.000, 4.795, 0.000], [0.000, 0.000, 5.694]],
  "species": ["Fe", "I", "Sb", "Sb", "Be"],
  "fractional_positions": [[0.000, 0.000, 0.000], [0.000, 0.000, 0.500], [0.000, 0.500, 0.000], [0.500, 0.000, 0.000], [0.500, 0.500, 0.500]],
  "space_group": "P4/mmm, No. 123",
  "e_form_raw_ev_per_atom": 0.873
}

=====

Record 2
{
  "formula": "Tb5Pr7Y",
  "functional": "PBE",
  "state": "relaxed",
  "cell": [[6.771, 0.000, 0.000], [3.385, 8.249, 0.132], [3.385, 0.106, 8.249]],
  "species": ["Tb", "Tb", "Tb", "Tb", "Tb", "Pr", "Pr", "Pr", "Pr", "Pr", "Pr", "Pr", "Y"],
  "fractional_positions": [[0.730, 0.770, 0.770], [0.460, 0.543, 0.002], [0.995, 0.543, 0.002], [0.995, 0.002, 0.543], [0.460, 0.002, 0.543], [0.978, 0.349, 0.695], [0.978, 0.695, 0.349], [0.483, 0.190, 0.845], [0.483, 0.845, 0.190], [0.734, 0.266, 0.266], [0.235, 0.265, 0.265], [0.422, 0.578, 0.578], [0.047, 0.953, 0.953]],
  "space_group": "Imm2, No. 44",
  "delta_e_f_ev_per_atom": 0.2169
}

=====

Record 3
{
  "formula": "YEr3Pt2",
  "functional": "PBE",
  "state": "relaxed",
  "cell": [[4.745, 0.000, 0.000], [0.000, 7.123, 0.000], [0.000, 0.000, 8.733]],
  "species": ["Er", "Er", "Er", "Er", "Er", "Er", "Pt", "Pt", "Pt", "Pt", "Y", "Y"],
  "fractional_positions": [[0.000, 0.356, 0.328], [0.500, 0.144, 0.830], [0.000, 0.856, 0.672], [0.500, 0.644, 0.170], [0.000, 0.490, 0.918], [0.000, 0.990, 0.082], [0.000, 0.256, 0.657], [0.500, 0.244, 0.154], [0.500, 0.744, 0.846], [0.000, 0.756, 0.343], [0.500, 0.010, 0.419], [0.500, 0.510, 0.581]],
  "space_group": "Pmc2_1, No. 26",
  "delta_e_f_ev_per_atom": -0.9799
}

=====

Record 4
{
  "formula": "Pr3SiRh2",
  "functional": "PBE",
  "state": "relaxed",
  "cell": [[3.971, 0.000, 0.000], [0.000, 12.479, 0.000], [0.000, 0.000, 12.035]],
  "species": ["Pr", "Pr", "Pr", "Pr", "Pr", "Pr", "Pr", "Pr", "Pr", "Pr", "Pr", "Pr", "Rh", "Rh", "Rh", "Rh", "Rh", "Rh", "Rh", "Rh", "Si", "Si", "Si", "Si"],
  "fractional_positions": [[0.250, 0.381, 0.067], [0.750, 0.881, 0.433], [0.250, 0.447, 0.375], [0.750, 0.553, 0.625], [0.250, 0.053, 0.875], [0.250, 0.807, 0.696], [0.750, 0.619, 0.933], [0.750, 0.193, 0.304], [0.750, 0.947, 0.125], [0.750, 0.307, 0.804], [0.250, 0.693, 0.196], [0.250, 0.119, 0.567], [0.750, 0.976, 0.696], [0.750, 0.307, 0.525], [0.250, 0.476, 0.804], [0.250, 0.693, 0.475], [0.750, 0.524, 0.196], [0.250, 0.024, 0.304], [0.750, 0.193, 0.025], [0.250, 0.807, 0.975], [0.250, 0.139, 0.120], [0.750, 0.639, 0.380], [0.250, 0.361, 0.620], [0.750, 0.861, 0.880]],
  "space_group": "Pnma, No. 62",
  "e_form_raw_ev_per_atom": -0.682
}

=====

Record 5
{
  "formula": "ErTmAs2Rh5",
  "functional": "PBE",
  "state": "relaxed",
  "cell": [[4.214, 0.000, 0.000], [0.000, 4.214, 0.000], [0.000, 0.000, 8.735]],
  "species": ["Rh", "Rh", "Rh", "Rh", "Rh", "As", "As", "Er", "Tm"],
  "fractional_positions": [[0.500, 0.000, 0.732], [0.000, 0.500, 0.268], [0.500, 0.000, 0.268], [0.000, 0.500, 0.732], [0.500, 0.500, 0.500], [0.500, 0.500, 0.855], [0.500, 0.500, 0.145], [0.000, 0.000, 0.500], [0.000, 0.000, 0.000]],
  "space_group": "P4/mmm, No. 123",
  "delta_e_f_ev_per_atom": -0.7992
}

=====

Record 6
{
  "formula": "AlTl2AsP",
  "functional": "PBE",
  "state": "relaxed",
  "cell": [[-1.470, 1.374, -5.013], [0.612, -4.727, -1.475], [-5.156, -1.050, 1.224]],
  "species": ["As", "Tl", "Tl", "P", "Al"],
  "fractional_positions": [[0.000, 0.000, 0.000], [0.500, 0.000, 0.000], [0.000, 0.000, 0.500], [0.500, 0.500, 0.500], [0.000, 0.500, 0.000]],
  "space_group": "P4/mmm, No. 123",
  "delta_e_f_ev_per_atom": 0.7008
}

=====

Results for DOS at the Fermi energy: 0.8876 1.7298 1.0123 0.8273 0.6397 0.5285 (in states/eV/atom, following the order of the records).
Results for E: -3.52 -4.63 -6.35 -6.43 -6.92 -3.01 (in eV/atom, following the order of the records).